Fe2CuRh PBE optimized geometry; symmetry = P4/mmm; VASP energy = -7.010 eV/atom; total magnetization = 1.44 μB per atom
1.0
2.645 0.000 0.000
0.000 2.645 0.000
0.000 0.000 7.249
Fe Cu Rh
2 1 1
Direct
0.000 0.000 0.245
0.000 0.000 0.755
0.500 0.500 0.000
0.500 0.500 0.500



Fe2Cu2Rh PBE optimized geometry; symmetry = I4/mmm; energy above the lowest structure with this stoichiometry = 39.5 kJ per mole of atoms; total magnetization = 0.00 μB per atom
1.0
-1.581 1.581 6.410
1.581 -1.581 6.410
1.581 1.581 -6.410
Fe Cu Rh
2 2 1
Direct
0.250 0.750 0.500
0.750 0.250 0.500
0.102 0.102 0.000
0.898 0.898 0.000
0.500 0.500 0.000



Fe2CuRh PBE optimized geometry; symmetry = P4mm; VASP energy = -7.051 eV/atom; total magnetization = 1.60 μB per atom
1.0
2.989 0.000 0.000
0.000 2.989 0.000
0.000 0.000 5.701
Fe Cu Rh
2 1 1
Direct
0.000 0.000 0.000
0.500 0.500 0.244
0.500 0.500 0.769
0.000 0.000 0.498



Fe2CuRh PBE optimized geometry; symmetry = Cm; VASP energy = -7.043 eV/atom; total magnetization = 1.54 μB per atom
1.0
4.306 -1.354 0.000
4.306 1.354 0.000
-0.983 0.000 4.370
Fe Cu Rh
2 1 1
Direct
0.000 0.000 0.000
0.743 0.743 0.258
0.493 0.493 0.490
0.248 0.248 0.757



Fe3CuRh PBE optimized geometry; symmetry = Pm-3m; energy above the lowest structure with this stoichiometry = 0.0 kJ per mole of atoms; total magnetization = 1.97 μB per atom
1.0
4.297 0.000 0.000
0.000 4.297 0.000
0.000 0.000 4.297
Fe Cu Rh
3 1 1
Direct
0.000 0.000 0.500
0.000 0.500 0.000
0.500 0.000 0.000
0.000 0.000 0.000
0.500 0.500 0.500



Fe2CuRh PBE optimized geometry; symmetry = I-42d; VASP energy = -6.604 eV/atom; total magnetization = 1.67 μB per atom
1.0
-3.338 3.338 2.524
3.338 -3.338 2.524
3.338 3.338 -2.524
Fe Cu Rh
4 2 2
Direct
0.122 0.625 0.997
0.375 0.372 0.497
0.628 0.125 0.003
0.875 0.878 0.503
0.000 0.000 0.000
0.750 0.250 0.500
0.250 0.750 0.500
0.500 0.500 0.000



Fe2CuRh PBE optimized geometry; symmetry = Cmmm; VASP energy = -7.061 eV/atom; total magnetization = 1.49 μB per atom
1.0
2.603 -3.673 0.000
2.603 3.673 0.000
0.000 0.000 2.654
Fe Cu Rh
2 1 1
Direct
0.000 0.500 0.000
0.500 0.000 0.000
0.000 0.000 0.500
0.500 0.500 0.500



FeCu2Rh PBE optimized geometry; symmetry = Fm-3m; VASP energy = -5.865 eV/atom; total magnetization = 0.87 μB per atom
1.0
0.000 2.944 2.944
2.944 0.000 2.944
2.944 2.944 0.000
Fe Cu Rh
1 2 1
Direct
0.000 0.000 0.000
0.250 0.250 0.250
0.750 0.750 0.750
0.500 0.500 0.500



FeCu2Rh PBE optimized geometry; symmetry = Cmmm; VASP energy = -5.827 eV/atom; total magnetization = 0.81 μB per atom
1.0
1.385 -2.153 0.000
1.385 2.153 0.000
0.000 0.000 8.628
Fe Cu Rh
1 2 1
Direct
0.000 0.000 0.000
0.500 0.500 0.242
0.500 0.500 0.758
0.000 0.000 0.500



FeCu2Rh PBE optimized geometry; symmetry = I4/mmm; VASP energy = -5.962 eV/atom; total magnetization = 0.91 μB per atom
1.0
-1.812 1.812 3.872
1.812 -1.812 3.872
1.812 1.812 -3.872
Fe Cu Rh
1 2 1
Direct
0.000 0.000 0.000
0.250 0.750 0.500
0.750 0.250 0.500
0.500 0.500 0.000



FeCu2Rh4 PBE optimized geometry; symmetry = Cmmm; energy above the lowest structure with this stoichiometry = 0.0 kJ per mole of atoms; total magnetization = 0.29 μB per atom
1.0
1.347 -13.278 0.000
1.347 13.278 0.000
0.000 0.000 2.686
Fe Cu Rh
1 2 4
Direct
0.000 0.000 0.000
0.289 0.711 0.500
0.711 0.289 0.500
0.141 0.859 0.000
0.431 0.569 0.500
0.569 0.431 0.500
0.859 0.141 0.000



Fe2CuRh PBE optimized geometry; symmetry = C2/m; VASP energy = -7.011 eV/atom; total magnetization = 1.56 μB per atom
1.0
4.337 -1.358 0.000
4.337 1.358 0.000
-0.907 0.000 4.319
Fe Cu Rh
2 1 1
Direct
0.248 0.248 0.241
0.752 0.752 0.759
0.500 0.500 0.000
0.000 0.000 0.500